Sc3GeC, relaxed, DFT PBE-GGA; density = 4.0 g cm⁻³; ΔE_f = -0.6049 eV per atom; total moment = 0.00 μB/cell
1.0
3.3511 0.0000 0.0000
0.0000 4.5008 0.0000
-1.2447 0.0000 5.9848
Sc Ge C
3 1 1
Direct
0.0000 0.0000 0.0000
0.1940 0.0000 0.5091
0.5970 0.5000 0.2543
0.5989 0.5000 0.7542
0.5970 0.0000 0.2543

---

Sc3GeC, relaxed, DFT PBE-GGA; density = 2.7 g cm⁻³; ΔE_f = 0.5820 eV per atom; total moment = 3.93 μB/cell
1.0
-2.6632 2.6632 9.4671
2.6632 -2.6632 9.4671
2.6632 2.6632 -9.4671
Sc Ge C
6 2 2
Direct
0.2259 0.2259 0.0000
0.3729 0.6211 0.7517
0.3789 0.1306 0.7517
0.3789 0.6271 0.2483
0.7741 0.7741 0.0000
0.8694 0.6211 0.2483
0.2500 0.7500 0.5000
0.5000 0.5000 0.0000
0.7151 0.2151 0.5000
0.7849 0.2849 0.5000

---

ScGe2C2, relaxed, DFT PBE-GGA; density = 5.5 g cm⁻³; ΔE_f = 0.8184 eV per atom; total moment = 0.00 μB/cell
1.0
-2.0450 2.0450 3.8891
2.0450 -2.0450 3.8891
2.0450 2.0450 -3.8891
Sc Ge C
1 2 2
Direct
0.0000 0.0000 0.0000
0.3356 0.3356 0.0000
0.6644 0.6644 0.0000
0.2500 0.7500 0.5000
0.7500 0.2500 0.5000

---

Sc3GeC, relaxed, DFT PBE-GGA; density = 2.5 g cm⁻³; ΔE_f = 0.2936 eV per atom; total moment = 1.00 μB/cell
1.0
3.6457 2.1049 3.1809
-3.6457 2.1049 3.1809
0.0000 -4.2097 3.1809
Sc Ge C
3 1 1
Direct
0.0480 0.4760 0.4760
0.4760 0.0480 0.4760
0.4760 0.4760 0.0480
0.5512 0.5512 0.5512
0.2249 0.2249 0.2249

---

Sc2Ge2C, relaxed, DFT PBE-GGA; density = 4.1 g cm⁻³; ΔE_f = 0.4667 eV per atom; total moment = 1.14 μB/cell
1.0
-2.7147 2.7147 3.4163
2.7147 -2.7147 3.4163
2.7147 2.7147 -3.4163
Sc Ge C
2 2 1
Direct
0.2500 0.7500 0.5000
0.7500 0.2500 0.5000
0.2156 0.2156 0.0000
0.7844 0.7844 0.0000
0.5000 0.5000 0.0000

---

Sc3GeC, relaxed, DFT PBE-GGA; density = 4.0 g cm⁻³; ΔE_f = -0.5737 eV per atom; total moment = 0.00 μB/cell
1.0
8.2764 0.0000 0.0000
0.0000 5.7677 0.0000
-3.2240 0.0000 7.5624
Sc Ge C
12 4 4
Direct
0.0626 0.0728 0.3518
0.0626 0.4272 0.8518
0.1864 0.5883 0.5466
0.1864 0.9117 0.0466
0.3673 0.1323 0.7618
0.3673 0.3677 0.2618
0.6327 0.6323 0.7382
0.6327 0.8677 0.2382
0.8136 0.0883 0.9534
0.8136 0.4117 0.4534
0.9374 0.5728 0.1482
0.9374 0.9272 0.6482
0.3804 0.6685 0.9008
0.3804 0.8315 0.4008
0.6196 0.1685 0.5992
0.6196 0.3315 0.0992
0.0846 0.2478 0.6063
0.0846 0.2522 0.1063
0.9154 0.7478 0.8937
0.9154 0.7522 0.3937

---

Sc2Ge2C, relaxed, DFT PBE-GGA; density = 4.8 g cm⁻³; ΔE_f = 0.2646 eV per atom; total moment = 0.00 μB/cell
1.0
-1.6983 1.6983 7.4093
1.6983 -1.6983 7.4093
1.6983 1.6983 -7.4093
Sc Ge C
2 2 1
Direct
0.0889 0.0889 0.0000
0.9111 0.9111 0.0000
0.2500 0.7500 0.5000
0.7500 0.2500 0.5000
0.5000 0.5000 0.0000

---

Sc3GeC, relaxed, DFT PBE-GGA; density = 3.7 g cm⁻³; ΔE_f = -0.2332 eV per atom; total moment = 0.00 μB/cell
1.0
6.5729 0.0000 0.0000
0.0000 8.8825 0.0000
0.0000 0.0000 6.7113
Sc Ge C
12 4 4
Direct
0.1340 0.0784 0.1425
0.1340 0.4216 0.1425
0.1619 0.2500 0.6790
0.3381 0.7500 0.1790
0.3660 0.5784 0.6425
0.3660 0.9216 0.6425
0.6340 0.0784 0.3575
0.6340 0.4216 0.3575
0.6619 0.2500 0.8210
0.8381 0.7500 0.3210
0.8660 0.5784 0.8575
0.8660 0.9216 0.8575
0.0000 0.0000 0.5000
0.0000 0.5000 0.5000
0.5000 0.0000 0.0000
0.5000 0.5000 0.0000
0.0208 0.7500 0.0326
0.4792 0.2500 0.5326
0.5208 0.7500 0.4674
0.9792 0.2500 0.9674

---

Sc4Ge2C, relaxed, DFT PBE-GGA; density = 4.2 g cm⁻³; ΔE_f = -0.7724 eV per atom; total moment = 0.00 μB/cell
1.0
-2.1715 2.1715 7.1221
2.1715 -2.1715 7.1221
2.1715 2.1715 -7.1221
Sc Ge C
4 2 1
Direct
0.0000 0.5000 0.5000
0.1633 0.1633 0.0000
0.5000 0.0000 0.5000
0.8367 0.8367 0.0000
0.3606 0.3606 0.0000
0.6394 0.6394 0.0000
0.0000 0.0000 0.0000

---

Sm2Sc2Ge2C, relaxed, DFT PBE-GGA; density = 6.0 g cm⁻³; ΔE_f = -0.8461 eV per atom; total moment = 0.00 μB/cell
1.0
-2.2177 2.2177 7.7334
2.2177 -2.2177 7.7334
2.2177 2.2177 -7.7334
Sm Sc Ge C
2 2 2 1
Direct
0.1652 0.1652 0.0000
0.8348 0.8348 0.0000
0.0000 0.5000 0.5000
0.5000 0.0000 0.5000
0.3695 0.3695 0.0000
0.6305 0.6305 0.0000
0.0000 0.0000 0.0000

---

Sc4SnGeC, relaxed, DFT PBE-GGA; density = 4.5 g cm⁻³; ΔE_f = -0.7423 eV per atom; total moment = 0.00 μB/cell
1.0
3.1143 -7.3155 0.0000
3.1143 7.3155 0.0000
0.0000 0.0000 6.2334
Sc Sn Ge C
8 2 2 2
Direct
0.0000 0.5000 0.0000
0.0000 0.5000 0.5000
0.0873 0.9127 0.7500
0.4048 0.5952 0.7500
0.5000 0.0000 0.0000
0.5000 0.0000 0.5000
0.5952 0.4048 0.2500
0.9127 0.0873 0.2500
0.3947 0.6053 0.2500
0.6053 0.3947 0.7500
0.1124 0.8876 0.2500
0.8876 0.1124 0.7500
0.2474 0.7526 0.7500
0.7526 0.2474 0.2500

---

Tb2Sc2Ge2C, relaxed, DFT PBE-GGA; density = 6.4 g cm⁻³; ΔE_f = -0.8575 eV per atom; total moment = 0.00 μB/cell
1.0
-2.2044 2.2044 7.5870
2.2044 -2.2044 7.5870
2.2044 2.2044 -7.5870
Tb Sc Ge C
2 2 2 1
Direct
0.1651 0.1651 0.0000
0.8349 0.8349 0.0000
0.0000 0.5000 0.5000
0.5000 0.0000 0.5000
0.3673 0.3673 0.0000
0.6327 0.6327 0.0000
0.0000 0.0000 0.0000

---

> What is the total moment in the seventh record?

0.00 μB/cell

---

> Look up the density of the tenth one.

6.0 g cm⁻³

---

> Among the records above, which one has the lowest ΔE_f?

Tb2Sc2Ge2C

---

> total moment of number 9 (Sc4Ge2C)?

0.00 μB/cell